1.
The following is a PBE calculation of crystalline PrCuNi at its relaxed geometry, from the Alexandria database.

Geometry as POSCAR:
```
PrCuNi
1.0
-0.057 3.422 -0.258
-2.715 0.113 2.096
4.284 -1.438 2.817
Ni Cu Pr
1 1 1
Direct
0.256 0.256 0.511 Ni
0.648 0.648 0.297 Cu
0.946 0.946 0.892 Pr
```

Summary:
SG: I4mm, No. 107
Energy of formation from the pure elements, kJ per mole of atoms: -3.73
ρ, Mg/m³: 7.83

---

2.
The following is a PBE calculation of crystalline Pr2Cu3Ni2 at its relaxed geometry, from the Alexandria database.

Geometry as POSCAR:
```
Pr2Cu3Ni2
1.0
-0.624 -4.037 0.336
3.986 1.744 3.353
-5.348 1.120 3.525
Pr Cu Ni
2 3 2
Direct
0.664 0.327 0.709 Pr
0.336 0.673 0.291 Pr
0.603 0.207 0.185 Cu
0.397 0.793 0.815 Cu
0.000 0.000 0.000 Cu
0.066 0.132 0.375 Ni
0.934 0.868 0.625 Ni
```

Summary:
SG: C2/m, No. 12
Energy of formation from the pure elements, kJ per mole of atoms: -19.49
ρ, Mg/m³: 7.40
Energy above the most stable polymorph in this dataset, eV per atom: 0.000

---

3.
The following is a PBE calculation of crystalline Pr4Cu3Ni5 at its relaxed geometry, from the Alexandria database.

Geometry as POSCAR:
```
Pr4Cu3Ni5
1.0
-0.974 -1.677 -3.884
4.589 -5.313 -1.282
-4.111 -7.735 1.945
Ni Cu Pr
5 3 4
Direct
0.591 0.923 0.895 Ni
0.500 0.500 0.500 Ni
0.723 0.574 0.980 Ni
0.409 0.077 0.105 Ni
0.277 0.426 0.020 Ni
0.000 0.500 0.500 Cu
0.611 0.144 0.635 Cu
0.389 0.856 0.365 Cu
0.955 0.252 0.839 Pr
0.265 0.755 0.715 Pr
0.045 0.748 0.161 Pr
0.735 0.245 0.285 Pr
```

Summary:
SG: C2/m, No. 12
Energy of formation from the pure elements, kJ per mole of atoms: -10.24
ρ, Mg/m³: 7.00